The following is a PBE calculation of a relaxed structure of Tb4Sc3S8, from Alexandria.

## Properties
Crystal system ... monoclinic
Energy relative to the elements, uncorrected ... -1.9680 eV per atom

Lattice parameters (Å, degrees): 10.811 10.817 7.607 90.00 134.71 90.00
Space group C2/m (No. 12)
Inequivalent atoms, fractional coordinates:
Tb  0.000  0.000  0.000 (multiplicity 2)
Tb  0.000  0.500  0.500 (multiplicity 2)
Tb  0.250  0.250  0.000 (multiplicity 4)
Sc  0.000  0.500  0.000 (multiplicity 2)
Sc  0.250  0.250  0.500 (multiplicity 4)
S  0.000  0.245  0.500 (multiplicity 4)
S  0.000  0.256  0.000 (multiplicity 4)
S  0.249  0.500  0.009 (multiplicity 4)
S  0.249  0.500  0.488 (multiplicity 4)